No. 1
Below is RbFeTe3Pd after structural relaxation, with properties calculated at the PBE level.

Its total energy is -4.326 eV/atom.

It has space group P2_1/m (No. 11), with a = 8.9778 Å, b = 3.9374 Å, c = 10.4029 Å, α = 90.00°, β = 114.30° and γ = 90.00°. Symmetry generates all atoms from Rb at (0.0373, 0.2500, 0.2790), Fe at (0.4713, 0.2500, 0.1642), Te at (0.2590, 0.7500, 0.1206), Te at (0.3193, 0.7500, 0.5795), Te at (0.3569, 0.2500, 0.8815) and Pd at (0.4628, 0.7500, 0.3883).

No. 2
Below is NaYTaCo after structural relaxation, with properties calculated at the PBE level.

The offset from the most stable computed form comes out at 159 meV per atom.

It has space group F-43m (No. 216), with a = 6.6803 Å, b = 6.6803 Å, c = 6.6803 Å, α = 90.00°, β = 90.00° and γ = 90.00°. Symmetry generates all atoms from Na at (0.0000, 0.0000, 0.0000), Y at (0.2500, 0.2500, 0.7500), Ta at (0.0000, 0.0000, 0.5000) and Co at (0.2500, 0.2500, 0.2500).

No. 3
Below is AsPtI6 after structural relaxation, with properties calculated at the PBE level.

Its total energy is -2.201 eV/atom.

It has space group F-43m (No. 216), with a = 10.6878 Å, b = 10.6878 Å, c = 10.6878 Å, α = 90.00°, β = 90.00° and γ = 90.00°. Symmetry generates all atoms from As at (0.0000, 0.0000, 0.0000), Pt at (0.2500, 0.2500, 0.2500) and I at (0.0009, 0.2500, 0.2500).

No. 4
Below is Nd2Sc2CF5 after structural relaxation, with properties calculated at the PBE level.

Its total energy is -6.732 eV/atom.

It has space group C2/m (No. 12), with a = 14.2222 Å, b = 3.4004 Å, c = 7.3287 Å, α = 90.00°, β = 105.73° and γ = 90.00°. Symmetry generates all atoms from Nd at (0.0004, 0.0000, 0.2405), Sc at (0.1586, 0.5000, 0.0913), C at (0.0000, 0.5000, 0.0000), F at (0.0000, 0.5000, 0.5000), F at (0.1813, 0.0000, 0.9008) and F at (0.1820, 0.0000, 0.2807).

No. 5
Below is Hf3Sc3FeBi2 after structural relaxation, with properties calculated at the PBE level.

The offset from the most stable computed form comes out at 0 meV per atom.

It has space group P-62m (No. 189), with a = 7.8650 Å, b = 7.8650 Å, c = 3.7480 Å, α = 90.00°, β = 90.00° and γ = 120.00°. Symmetry generates all atoms from Hf at (0.0000, 0.2277, 0.0000), Sc at (0.0000, 0.6153, 0.5000), Fe at (0.0000, 0.0000, 0.5000) and Bi at (0.3333, 0.6667, 0.0000).

No. 6
Below is PrNd2Zn3CdIn2 after structural relaxation, with properties calculated at the PBE level.

Its total energy is -3.078 eV/atom.

It has space group Amm2 (No. 38), with a = 4.6809 Å, b = 12.8062 Å, c = 7.3758 Å, α = 90.00°, β = 90.00° and γ = 90.00°. Symmetry generates all atoms from Pr at (0.0000, 0.0000, 0.0000), Nd at (0.0000, 0.2109, 0.6316), Zn at (0.5000, 0.0000, 0.6548), Zn at (0.5000, 0.1167, 0.3047), Cd at (0.0000, 0.0000, 0.4234) and In at (0.5000, 0.1674, 0.9208).

No. 7
Below is Ho3Sc3Te2Pd after structural relaxation, with properties calculated at the PBE level.

The offset from the most stable computed form comes out at 93 meV per atom.

It has space group P-62m (No. 189), with a = 8.2240 Å, b = 8.2240 Å, c = 3.7946 Å, α = 90.00°, β = 90.00° and γ = 120.00°. Symmetry generates all atoms from Ho at (0.0000, 0.7471, 0.0000), Sc at (0.0000, 0.4013, 0.5000), Te at (0.3333, 0.6667, 0.0000) and Pd at (0.0000, 0.0000, 0.5000).

No. 8
Below is NdCoAgGe2 after structural relaxation, with properties calculated at the PBE level.

Its total energy is -5.170 eV/atom.

It has space group I-4m2 (No. 119), with a = 4.2366 Å, b = 4.2366 Å, c = 10.5269 Å, α = 90.00°, β = 90.00° and γ = 90.00°. Symmetry generates all atoms from Nd at (0.0000, 0.0000, 0.0000), Co at (0.0000, 0.5000, 0.2500), Ag at (0.0000, 0.5000, 0.7500) and Ge at (0.0000, 0.0000, 0.3797).

No. 9
Below is NaSnAsOs after structural relaxation, with properties calculated at the PBE level.

The offset from the most stable computed form comes out at 0 meV per atom.

It has space group F-43m (No. 216), with a = 6.5562 Å, b = 6.5562 Å, c = 6.5562 Å, α = 90.00°, β = 90.00° and γ = 90.00°. Symmetry generates all atoms from Na at (0.0000, 0.0000, 0.0000), Sn at (0.2500, 0.2500, 0.2500), As at (0.2500, 0.2500, 0.7500) and Os at (0.0000, 0.0000, 0.5000).

No. 10
Below is Lu3Zn4 after structural relaxation, with properties calculated at the PBE level.

As for the formation energy: -0.1976 eV per atom. The offset from the most stable computed form comes out at 0 meV per atom.

It has space group P6_3/m (No. 176), with a = 8.5640 Å, b = 8.5640 Å, c = 4.5702 Å, α = 90.00°, β = 90.00° and γ = 120.00°. Symmetry generates all atoms from Lu at (0.1016, 0.6585, 0.2500), Zn at (0.0385, 0.8270, 0.7500) and Zn at (0.3333, 0.6667, 0.7500).

No. 11
Below is Sr3Cd3In8 after structural relaxation, with properties calculated at the PBE level.

Its total energy is -2.432 eV/atom.

It has space group Immm (No. 71), with a = 4.9397 Å, b = 11.0432 Å, c = 14.3560 Å, α = 90.00°, β = 90.00° and γ = 90.00°. Symmetry generates all atoms from Sr at (0.0000, 0.0000, 0.0000), Sr at (0.0000, 0.0000, 0.2961), Cd at (0.0000, 0.1719, 0.5000), Cd at (0.0000, 0.5000, 0.0000), In at (0.0000, 0.2862, 0.1448) and In at (0.0000, 0.3664, 0.3501).

No. 12
Below is Tb3GdC2Se2 after structural relaxation, with properties calculated at the PBE level.

Its total energy is -6.621 eV/atom.

It has space group P3m1 (No. 156), with a = 3.7901 Å, b = 3.7901 Å, c = 13.3817 Å, α = 90.00°, β = 90.00° and γ = 120.00°. Symmetry generates all atoms from Tb at (0.0000, 0.0000, 0.0000), Tb at (0.0000, 0.0000, 0.2985), Tb at (0.6667, 0.3333, 0.7993), Gd at (0.6667, 0.3333, 0.5004), C at (0.3333, 0.6667, 0.3990), C at (0.3333, 0.6667, 0.8997), Se at (0.0000, 0.0000, 0.6505) and Se at (0.6667, 0.3333, 0.1497).